Material: MnOsPt2
Method: DFT, GGA-PBE
State: optimized geometry

abc: 4.791 4.791 2.755
angles: 90.00 90.00 110.50
Element x y z (fractional)
Pt 0.500 0.500 0.000
Pt 0.000 0.000 0.000
Mn 0.500 0.000 0.500
Os 0.000 0.500 0.500

Space group: Cmmm, No. 65
ΔE_f in eV/atom: -0.077